VASP calculation (PBE) on a relaxed structure of Li5PaPd6.

POSCAR file:
```
Li5PaPd6
1.0
4.1038 -0.2682 0.6843
-0.0194 6.5015 2.6669
0.9474 0.7832 7.3594
Pa Li Pd
1 5 6
direct
0.0000 0.0000 0.0000
0.3175 0.8179 0.3647
0.6682 0.6688 0.6623
0.0000 0.5000 0.0000
0.3318 0.3312 0.3377
0.6825 0.1821 0.6353
0.1673 0.4136 0.6650
0.5000 0.7368 0.0000
0.5000 0.2632 0.0000
0.8327 0.5864 0.3350
0.1673 0.9213 0.6651
0.8327 0.0787 0.3349
```

The value obtained for the raw total energy is -4.717 eV per atom. Its spin magnetization is 0.0 Bohr magnetons per cell. As for the crystal system: orthorhombic.